{
  "formula": "SrMgTi2Al",
  "functional": "PBE",
  "state": "relaxed",
  "cell": [[4.998, 0.000, 0.000], [0.000, 4.998, 0.000], [0.000, 0.000, 5.798]],
  "species": ["Sr", "Mg", "Ti", "Ti", "Al"],
  "fractional_positions": [[0.000, 0.000, 0.000], [0.500, 0.500, 0.000], [0.000, 0.500, 0.500], [0.500, 0.000, 0.500], [0.000, 0.000, 0.500]],
  "ef_ev_per_fu": 3.84,
  "volume_a3_per_cell": 144.9,
  "spacegroup": "No. 123"
}

{
  "formula": "Sc4Zn3Sn",
  "functional": "PBE",
  "state": "relaxed",
  "cell": [[2.400, 1.386, 7.912], [-2.400, 1.386, 7.912], [0.000, -2.772, 7.912]],
  "species": ["Sc", "Sc", "Sc", "Sc", "Zn", "Zn", "Zn", "Sn"],
  "fractional_positions": [[0.121, 0.121, 0.121], [0.371, 0.371, 0.371], [0.629, 0.629, 0.629], [0.879, 0.879, 0.879], [0.000, 0.000, 0.000], [0.254, 0.254, 0.254], [0.746, 0.746, 0.746], [0.500, 0.500, 0.500]],
  "ef_ev_per_fu": -3.51,
  "volume_a3_per_cell": 157.9,
  "spacegroup": "No. 166"
}

{
  "formula": "Ce4C2Cl3",
  "functional": "PBE",
  "state": "relaxed",
  "cell": [[3.260, -1.882, 0.000], [3.260, 1.882, 0.000], [-0.016, 0.000, 16.984]],
  "species": ["Ce", "Ce", "Ce", "Ce", "C", "C", "Cl", "Cl", "Cl"],
  "fractional_positions": [[0.001, 0.001, 0.285], [0.334, 0.334, 0.123], [0.666, 0.666, 0.877], [0.999, 0.999, 0.715], [0.333, 0.333, 0.798], [0.667, 0.667, 0.202], [0.000, 0.000, 0.000], [0.334, 0.334, 0.393], [0.666, 0.666, 0.607]],
  "e_form_raw_ev_per_atom": -1.175,
  "relative_energy_mev_per_atom": 0,
  "volume_a3_per_cell": 208.4,
  "spacegroup": "No. 12"
}

{
  "formula": "AsRh3",
  "functional": "PBE",
  "state": "relaxed",
  "cell": [[-1.477, 2.197, 4.507], [1.477, -2.197, 4.507], [1.477, 2.197, -4.507]],
  "species": ["As", "Rh", "Rh", "Rh"],
  "fractional_positions": [[0.000, 0.000, 0.000], [0.215, 0.715, 0.500], [0.500, 0.500, 0.000], [0.785, 0.285, 0.500]],
  "ef_ev_per_fu": -0.47,
  "volume_a3_per_cell": 58.5,
  "spacegroup": "No. 71"
}

{
  "formula": "ZnHg2Cl2",
  "functional": "PBE",
  "state": "relaxed",
  "cell": [[-1.948, 1.948, 8.827], [1.948, -1.948, 8.827], [1.948, 1.948, -8.827]],
  "species": ["Zn", "Hg", "Hg", "Cl", "Cl"],
  "fractional_positions": [[0.000, 0.000, 0.000], [0.250, 0.750, 0.500], [0.750, 0.250, 0.500], [0.413, 0.413, 0.000], [0.587, 0.587, 0.000]],
  "e_form_raw_ev_per_atom": -0.087,
  "relative_energy_mev_per_atom": 53,
  "volume_a3_per_cell": 134.0,
  "spacegroup": "No. 139"
}

{
  "formula": "Sr2HW",
  "functional": "PBE",
  "state": "relaxed",
  "cell": [[0.000, 3.807, 3.807], [3.807, 0.000, 3.807], [3.807, 3.807, 0.000]],
  "species": ["Sr", "Sr", "H", "W"],
  "fractional_positions": [[0.250, 0.250, 0.250], [0.750, 0.750, 0.750], [0.000, 0.000, 0.000], [0.500, 0.500, 0.500]],
  "relative_energy_mev_per_atom": 264,
  "volume_a3_per_cell": 110.4,
  "spacegroup": "No. 225"
}